Entry 1:
Entry from Alexandria via LeMat-Bulk: Pr12Tm5In2 after structural relaxation (PBE-GGA).

Cell: 9.3866 9.0806 8.7225 Å, 92.89 90.00 121.12°
With the nearest neighbours (Å) after each atom.
Sites, in units of the cell vectors:
Pr1 0.9639 0.2994 0.2329  1 In 3.28, 4 Pr 3.39-3.60, 1 Tm 3.60
Pr2 0.0830 0.1660 0.8854  5 Pr 3.36-3.60, 2 In 3.50, 3 Tm 3.53-3.63
Pr3 0.0361 0.7006 0.7671  1 In 3.28, 4 Pr 3.39-3.60, 1 Tm 3.60
Pr4 0.8201 0.2490 0.6623  5 Pr 3.39-3.67, 4 Tm 3.40-3.69, 1 In 3.63
Pr5 0.5711 0.7510 0.3377  5 Pr 3.39-3.67, 4 Tm 3.40-3.69, 1 In 3.63
Pr6 0.9170 0.8340 0.1146  5 Pr 3.36-3.60, 2 In 3.50, 3 Tm 3.53-3.63
Pr7 0.4416 0.8832 0.6755  2 Tm 3.32-3.49, 2 In 3.34, 7 Pr 3.39-3.65
Pr8 0.4289 0.2490 0.6623  5 Pr 3.39-3.67, 4 Tm 3.40-3.69, 1 In 3.63
Pr9 0.6645 0.7006 0.7671  1 In 3.28, 4 Pr 3.39-3.60, 1 Tm 3.60
Pr10 0.1799 0.7510 0.3377  5 Pr 3.39-3.67, 4 Tm 3.40-3.69, 1 In 3.63
Pr11 0.5584 0.1168 0.3245  2 Tm 3.32-3.49, 2 In 3.34, 7 Pr 3.39-3.65
Pr12 0.3355 0.2994 0.2329  1 In 3.28, 4 Pr 3.39-3.60, 1 Tm 3.60
Tm1 0.7688 0.5376 0.4169  8 Pr 3.32-3.68, 2 Tm 3.62-3.69
Tm2 0.2312 0.4624 0.5831  8 Pr 3.32-3.68, 2 Tm 3.62-3.69
Tm3 0.3126 0.6252 0.9891  2 In 3.33, 6 Pr 3.49-3.64, 1 Tm 3.69
Tm4 0.0000 0.0000 0.5000  10 Pr 3.53-3.81, 2 Tm 3.62
Tm5 0.6874 0.3748 0.0109  2 In 3.33, 6 Pr 3.49-3.64, 1 Tm 3.69
In1 0.3272 0.0000 0.0000  1 In 3.24, 8 Pr 3.28-3.63, 2 Tm 3.33
In2 0.6728 0.0000 0.0000  1 In 3.24, 8 Pr 3.28-3.63, 2 Tm 3.33

Output
The value obtained for the total energy is -4.494 eV per atom. The value obtained for the density is 7.227 g/cm³.



Entry 2:
Entry from Alexandria via LeMat-Bulk: BaLi2AlH8 after structural relaxation (PBE-GGA).

Cell: 4.6065 4.8974 6.7218 Å, 84.39 65.93 74.24°
With the nearest neighbours (Å) after each atom.
Sites, in units of the cell vectors:
H1 0.7228 0.2424 0.9096  1 Al 1.75, 1 Li 1.84
H2 0.2772 0.7576 0.0904  1 Al 1.75, 1 Li 1.84
H3 0.4368 0.4606 0.4905  1 H 0.83
H4 0.9856 0.7202 0.8629  1 Al 1.75, 2 Li 1.89
H5 0.6887 0.9140 0.2409  1 Al 1.78
H6 0.5632 0.5394 0.5095  1 H 0.83
H7 0.3113 0.0860 0.7591  1 Al 1.78
H8 0.0144 0.2798 0.1371  1 Al 1.75, 2 Li 1.89
Ba1 0.0000 0.0000 0.5000  12 H 2.66-2.96
Al1 0.0000 0.0000 0.0000  6 H 1.75-1.78
Li1 0.6764 0.5729 0.0998  4 H 1.84-2.02
Li2 0.3236 0.4271 0.9002  4 H 1.84-2.02

Output
The value obtained for the total energy is -3.257 eV per atom. The value obtained for the density is 2.321 g/cm³.



Entry 3:
Entry from Alexandria via LeMat-Bulk: KBaMo2 after structural relaxation (PBE-GGA).

Cell: 6.0657 3.3231 7.7067 Å, 80.59 90.00 90.00°
With the nearest neighbours (Å) after each atom.
Sites, in units of the cell vectors:
Ba1 0.5000 0.2500 0.2500  4 Mo 3.27, 2 Ba 3.32
K1 0.5000 0.7500 0.7500  2 K 3.32
Mo1 0.0000 0.0277 0.1387  2 Mo 2.31-2.44
Mo2 0.0000 0.4723 0.3613  2 Mo 2.31-2.44

Output
The value obtained for the total energy is -5.042 eV per atom. The value obtained for the density is 3.991 g/cm³. The calculation puts the energy above the most stable polymorph in this dataset at 1.42 eV/f.u.



Entry 4:
Entry from Alexandria via LeMat-Bulk: TcAgBr2 after structural relaxation (PBE-GGA).

Cell: 9.1763 9.1763 9.1763 Å, 21.28 21.28 21.28°
With the nearest neighbours (Å) after each atom.
Sites, in units of the cell vectors:
Br1 0.9840 0.9840 0.9840  3 Ag 2.80
Br2 0.7741 0.7741 0.7741  3 Tc 2.51
Ag1 0.2428 0.2428 0.2428  3 Br 2.80, 3 Tc 2.85
Tc1 0.4990 0.4990 0.4990  3 Br 2.51

Output
The value obtained for the total energy is -3.816 eV per atom. Its uncorrected formation energy is 0.324 eV per atom. The value obtained for the density is 6.809 g/cm³. The calculation puts the energy above the most stable polymorph in this dataset at 0.46 eV/f.u.



Entry 5:
Entry from Alexandria via LeMat-Bulk: AcLa5Ru3 after structural relaxation (PBE-GGA).

Cell: 8.0192 8.0192 10.6182 Å, 70.33 70.33 72.28°
With the nearest neighbours (Å) after each atom.
Sites, in units of the cell vectors:
La1 0.3632 0.9643 0.3310  3 Ru 2.85-2.86
La2 0.5699 0.5699 0.6314  3 Ru 2.75-2.97
La3 0.3014 0.6986 0.0000  3 Ru 2.85-2.86
La4 0.9643 0.3632 0.3310  3 Ru 2.85-2.86
La5 0.2338 0.2338 0.9678  3 Ru 2.82-2.90
La6 0.7662 0.7662 0.0322  3 Ru 2.82-2.90
La7 0.4301 0.4301 0.3686  3 Ru 2.75-2.97
La8 0.0357 0.6368 0.6690  3 Ru 2.85-2.86
La9 0.6986 0.3014 0.0000  3 Ru 2.85-2.86
La10 0.6368 0.0357 0.6690  3 Ru 2.85-2.86
Ac1 0.1058 0.1058 0.6968  3 Ru 2.93-3.01
Ac2 0.8942 0.8942 0.3032  3 Ru 2.93-3.01
Ru1 0.6676 0.6676 0.8337  6 La 2.86-2.91
Ru2 0.3449 0.3449 0.6757  5 La 2.75-2.97, 1 Ac 3.01
Ru3 0.0000 0.0000 0.5000  4 La 2.85, 2 Ac 2.94
Ru4 0.3324 0.3324 0.1663  6 La 2.86-2.91
Ru5 0.6551 0.6551 0.3243  5 La 2.75-2.97, 1 Ac 3.01
Ru6 0.0000 0.0000 0.0000  4 La 2.85-2.90, 2 Ac 2.93

Output
The value obtained for the total energy is -6.538 eV per atom. The value obtained for the density is 6.879 g/cm³.



Entry 6:
Entry from Alexandria via LeMat-Bulk: TlCrFe3 after structural relaxation (PBE-GGA).

Cell: 4.3349 4.3349 4.3349 Å, 90.00 90.00 90.00°
With the nearest neighbours (Å) after each atom.
Sites, in units of the cell vectors:
Fe1 0.5000 0.0000 0.0000  2 Cr 2.17
Fe2 0.0000 0.0000 0.5000  2 Cr 2.17
Fe3 0.0000 0.5000 0.0000  2 Cr 2.17
Tl1 0.5000 0.5000 0.5000  12 Fe 3.07
Cr1 0.0000 0.0000 0.0000  6 Fe 2.17

Output
The value obtained for the total energy is -6.381 eV per atom. The value obtained for the density is 8.642 g/cm³. The calculation puts the energy above the most stable polymorph in this dataset at 0.00 eV/f.u.



Entry 7:
Entry from Alexandria via LeMat-Bulk: MgTiCu2 after structural relaxation (PBE-GGA).

Cell: 5.8391 5.8391 5.8391 Å, 57.08 154.25 130.00°
With the nearest neighbours (Å) after each atom.
Sites, in units of the cell vectors:
Ti1 0.0000 0.5000 0.5000  2 Cu 2.53, 2 Ti 2.60, 4 Mg 2.79
Mg1 0.0000 0.0000 0.0000  2 Cu 2.60, 2 Mg 2.60, 4 Ti 2.79
Cu1 0.0000 0.2533 0.2533  1 Ti 2.53, 1 Mg 2.60, 6 Cu 2.60-2.79
Cu2 0.0000 0.7467 0.7467  1 Ti 2.53, 1 Mg 2.60, 6 Cu 2.60-2.79

Output
The value obtained for the total energy is -3.891 eV per atom. The value obtained for the density is 5.022 g/cm³.



Entry 8:
Entry from Alexandria via LeMat-Bulk: TaBiP3 after structural relaxation (PBE-GGA).

Cell: 5.0177 5.0177 5.0177 Å, 90.00 90.00 90.00°
With the nearest neighbours (Å) after each atom.
Sites, in units of the cell vectors:
P1 0.5000 0.0000 0.0000  2 Bi 2.51
P2 0.0000 0.0000 0.5000  2 Bi 2.51
P3 0.0000 0.5000 0.0000  2 Bi 2.51
Bi1 0.0000 0.0000 0.0000  6 P 2.51
Ta1 0.5000 0.5000 0.5000  12 P 3.55

Output
The value obtained for the total energy is -4.454 eV per atom. The value obtained for the density is 6.347 g/cm³. The calculation puts the energy above the most stable polymorph in this dataset at 7.94 eV/f.u.